No. 1
Li2Ac4Co | the Alexandria database | PBE | relaxed; space group = I4/mmm; relative energy among the computed polymorphs = 0.054 eV per atom; energy of formation = 132 meV/atom
1.0
-0.091 -5.230 1.747
5.149 0.544 1.897
-5.582 4.918 5.726
Ac Co Li
4 1 2
direct
0.826 0.826 0.653
0.174 0.174 0.347
0.000 0.500 0.000
0.500 0.000 0.000
0.000 0.000 0.000
0.630 0.630 0.260
0.370 0.370 0.740

No. 2
GePt2S | the Alexandria database | PBE | relaxed; formation energy without anion corrections = -0.185 eV/atom; space group = I-42d; relative energy among the computed polymorphs = 0.000 eV per atom
1.0
-4.093 -0.284 -2.417
-0.038 -4.721 0.619
-5.589 -1.703 4.974
Ge S Pt
2 2 4
direct
0.000 0.000 0.000
0.750 0.250 0.500
0.500 0.500 0.000
0.250 0.750 0.500
0.575 0.125 0.250
0.175 0.625 0.250
0.375 0.425 0.750
0.875 0.825 0.750

No. 3
RbSiB | the Alexandria database | PBE | relaxed; formation energy without anion corrections = 0.176 eV/atom; space group = Cc
1.0
7.157 0.000 0.000
3.432 5.933 -1.722
-3.432 5.933 1.722
Si B Rb
2 2 2
direct
0.639 0.324 0.815
0.139 0.685 0.176
0.684 0.958 0.039
0.184 0.461 0.542
0.505 0.964 0.377
0.005 0.123 0.536

No. 4
CePm4S6 | the Alexandria database | PBE | relaxed; formation energy without anion corrections = -2.035 eV/atom; space group = Cmcm
1.0
-1.570 1.707 -3.227
-2.009 -6.638 -0.087
-16.529 4.863 10.615
Ce Pm S
2 8 12
direct
0.655 0.310 0.250
0.345 0.690 0.750
0.861 0.721 0.541
0.409 0.818 0.129
0.139 0.279 0.459
0.591 0.182 0.871
0.861 0.721 0.959
0.139 0.279 0.041
0.591 0.182 0.629
0.409 0.818 0.371
0.500 0.000 0.000
0.500 0.000 0.500
0.049 0.098 0.331
0.951 0.902 0.669
0.951 0.902 0.831
0.049 0.098 0.169
0.769 0.539 0.410
0.231 0.461 0.590
0.231 0.461 0.910
0.769 0.539 0.090
0.307 0.614 0.250
0.693 0.386 0.750

No. 5
KLi3Pb9 | the Alexandria database | PBE | relaxed; space group = C2/m; energy of formation = -140 meV/atom
1.0
-5.906 1.622 1.397
-1.857 -2.409 7.405
-0.324 7.846 3.647
K Li Pb
1 3 9
direct
0.000 0.000 0.000
0.500 0.500 0.000
0.000 0.000 0.500
0.500 0.000 0.500
0.709 0.782 0.768
0.291 0.218 0.232
0.523 0.218 0.768
0.477 0.782 0.232
0.665 0.340 0.359
0.335 0.660 0.641
0.977 0.660 0.359
0.023 0.340 0.641
0.000 0.500 0.000

No. 6
KLiSb2 | the Alexandria database | PBE | relaxed; formation energy without anion corrections = -0.329 eV/atom; space group = P4/mmm; relative energy among the computed polymorphs = 0.052 eV per atom
1.0
-2.456 -1.674 -1.395
-0.756 -1.320 2.910
-6.089 7.440 1.793
K Li Sb
1 1 2
direct
0.500 0.500 0.250
0.500 0.500 0.750
0.000 0.000 0.964
0.000 0.000 0.536